## Li2CrC2O6 (PBE with a Hubbard U)

Data for an optimized crystal structure of Li2CrC2O6.

Unit cell a=11.9722 b=16.3789 c=5.4506 alpha=90.00 beta=90.00 gamma=90.00
Last column: nearest neighbours and their distance in Å.
Space group Fdd2 (No. 43)
Inequivalent atoms, fractional coordinates:
Li (0.0327, 0.3394, 0.0000) (multiplicity 16)  4 O 1.93-2.17
Cr (0.0000, 0.0000, 0.9811) (multiplicity 8)  4 O 2.07-2.18
C (0.0409, 0.1510, 0.0225) (multiplicity 16)  3 O 1.26-1.32
O (0.0166, 0.1015, 0.2048) (multiplicity 16)  1 C 1.32
O (0.0418, 0.1156, 0.8042) (multiplicity 16)  1 C 1.32
O (0.0653, 0.2252, 0.0569) (multiplicity 16)  1 C 1.26

Calculated values
Energy, eV/atom: -7.10